Record 1
Entry from Alexandria: crystalline AcMo2O7 at its relaxed geometry (PBE with a Hubbard U).

```
data_AcMo2O7
_symmetry_space_group_name_H-M 'P 1'
_symmetry_Int_Tables_number 1
_symmetry_space_group_name_Hall 'P 1'
_cell_length_a 3.8793
_cell_length_b 5.9945
_cell_length_c 5.9945
_cell_angle_alpha 115.27
_cell_angle_beta 90.00
_cell_angle_gamma 90.00
loop_
_atom_site_label
_atom_site_fract_x
_atom_site_fract_y
_atom_site_fract_z
_atom_site_occupancy
Mo1 0.5000 0.3088 0.6912 1
Mo2 0.5000 0.6912 0.3088 1
O1 0.0000 0.3006 0.6994 1
O2 0.5000 0.9576 0.6751 1
O3 0.5000 0.0424 0.3249 1
O4 0.5000 0.5000 0.5000 1
O5 0.0000 0.6994 0.3006 1
O6 0.5000 0.6751 0.9576 1
O7 0.5000 0.3249 0.0424 1
Ac1 0.0000 0.0000 0.0000 1
```

Calculated values
Symmetry: Cmmm, No. 65
V in A^3/atom: 12.6
Energy in eV per cell: -73.669
N(E_F) in states/eV per atom: 0.115



Record 2
Entry from Alexandria: crystalline AcMoO4 at its relaxed geometry (PBE with a Hubbard U).

```
data_AcMoO4
_symmetry_space_group_name_H-M 'P 1'
_symmetry_Int_Tables_number 1
_symmetry_space_group_name_Hall 'P 1'
_cell_length_a 5.5734
_cell_length_b 5.5734
_cell_length_c 7.2467
_cell_angle_alpha 112.62
_cell_angle_beta 112.62
_cell_angle_gamma 90.00
loop_
_atom_site_label
_atom_site_fract_x
_atom_site_fract_y
_atom_site_fract_z
_atom_site_occupancy
O1 0.6757 0.5702 0.8460 1
O2 0.0743 0.6798 0.6540 1
O3 0.4298 0.8296 0.1540 1
O4 0.3202 0.4204 0.3460 1
O5 0.7242 0.3243 0.1540 1
O6 0.0258 0.9257 0.3460 1
O7 0.1704 0.2758 0.8460 1
O8 0.5796 0.9742 0.6540 1
Ac1 0.0000 0.0000 0.0000 1
Ac2 0.7500 0.2500 0.5000 1
Mo1 0.5000 0.5000 0.0000 1
Mo2 0.2500 0.7500 0.5000 1
```

Calculated values
Symmetry: I4_1/a, No. 88
V in A^3/atom: 15.7
Distance to the lowest polymorph of the same formula in meV/atom: 0



Record 3
Entry from Alexandria: crystalline AcMoO4 at its relaxed geometry (PBE with a Hubbard U).

```
data_AcMoO4
_symmetry_space_group_name_H-M 'P 1'
_symmetry_Int_Tables_number 1
_symmetry_space_group_name_Hall 'P 1'
_cell_length_a 6.2941
_cell_length_b 7.7726
_cell_length_c 8.6388
_cell_angle_alpha 90.00
_cell_angle_beta 90.00
_cell_angle_gamma 92.02
loop_
_atom_site_label
_atom_site_fract_x
_atom_site_fract_y
_atom_site_fract_z
_atom_site_occupancy
O1 0.0791 0.6363 0.3718 1
O2 0.4637 0.2335 0.7004 1
O3 0.1160 0.9018 0.1321 1
O4 0.9637 0.7335 0.7996 1
O5 0.6160 0.4018 0.3679 1
O6 0.2465 0.0205 0.4396 1
O7 0.8840 0.0982 0.8679 1
O8 0.5791 0.1363 0.1282 1
O9 0.7465 0.5205 0.0604 1
O10 0.0363 0.2665 0.2004 1
O11 0.7535 0.9795 0.5604 1
O12 0.2535 0.4795 0.9396 1
O13 0.3840 0.5982 0.6321 1
O14 0.9209 0.3637 0.6282 1
O15 0.5363 0.7665 0.2996 1
O16 0.4209 0.8637 0.8718 1
Mo1 0.7479 0.1681 0.6839 1
Mo2 0.2521 0.8319 0.3161 1
Mo3 0.7521 0.3319 0.1839 1
Mo4 0.2479 0.6681 0.8161 1
Ac1 0.7548 0.6634 0.5447 1
Ac2 0.7452 0.8366 0.0447 1
Ac3 0.2452 0.3366 0.4553 1
Ac4 0.2548 0.1634 0.9553 1
```

Calculated values
Symmetry: P2_1/c, No. 14
V in A^3/atom: 17.6
Distance to the lowest polymorph of the same formula in meV/atom: 96
N(E_F) in states/eV per atom: 0.000



Record 4
Entry from Alexandria: crystalline Ac2MoO8 at its relaxed geometry (PBE with a Hubbard U).

```
data_Ac2MoO8
_symmetry_space_group_name_H-M 'P 1'
_symmetry_Int_Tables_number 1
_symmetry_space_group_name_Hall 'P 1'
_cell_length_a 5.3961
_cell_length_b 6.3209
_cell_length_c 6.3209
_cell_angle_alpha 104.89
_cell_angle_beta 114.59
_cell_angle_gamma 114.59
loop_
_atom_site_label
_atom_site_fract_x
_atom_site_fract_y
_atom_site_fract_z
_atom_site_occupancy
O1 0.4918 0.2631 0.1187 1
O2 0.0000 0.2155 0.7845 1
O3 0.8770 0.7055 0.7055 1
O4 0.5082 0.8813 0.7369 1
O5 0.4918 0.1187 0.2631 1
O6 0.1230 0.2945 0.2945 1
O7 0.5082 0.7369 0.8813 1
O8 0.0000 0.7845 0.2155 1
Ac1 0.5000 0.7090 0.2910 1
Ac2 0.5000 0.2910 0.7090 1
Mo1 0.0000 0.0000 0.0000 1
```

Calculated values
Symmetry: C2/m, No. 12
V in A^3/atom: 13.8
Energy in eV per cell: -76.516
N(E_F) in states/eV per atom: 0.000



Record 5
Entry from Alexandria: crystalline Ac2Mo3O10 at its relaxed geometry (PBE with a Hubbard U).

```
data_Ac2Mo3O10
_symmetry_space_group_name_H-M 'P 1'
_symmetry_Int_Tables_number 1
_symmetry_space_group_name_Hall 'P 1'
_cell_length_a 6.0202
_cell_length_b 7.8000
_cell_length_c 9.8290
_cell_angle_alpha 111.93
_cell_angle_beta 107.83
_cell_angle_gamma 90.00
loop_
_atom_site_label
_atom_site_fract_x
_atom_site_fract_y
_atom_site_fract_z
_atom_site_occupancy
Mo1 0.8186 0.9723 0.6373 1
Mo2 0.0815 0.4737 0.1631 1
Mo3 0.1814 0.0277 0.3627 1
Mo4 0.9185 0.5263 0.8369 1
Mo5 0.2558 0.0000 0.0000 1
Mo6 0.7442 0.0000 0.0000 1
O1 0.3878 0.4938 0.3063 1
O2 0.3812 0.0307 0.2277 1
O3 0.7770 0.5000 0.0000 1
O4 0.5229 0.1954 0.0457 1
O5 0.4771 0.8046 0.9543 1
O6 0.7702 0.7175 0.5405 1
O7 0.9185 0.4938 0.3063 1
O8 0.9721 0.8038 0.9442 1
O9 0.6122 0.5062 0.6937 1
O10 0.2230 0.5000 0.0000 1
O11 0.0279 0.1962 0.0558 1
O12 0.0000 0.0000 0.5000 1
O13 0.8465 0.0307 0.2277 1
O14 0.2298 0.2825 0.4595 1
O15 0.6188 0.9693 0.7723 1
O16 0.5000 0.0000 0.5000 1
O17 0.1535 0.9693 0.7723 1
O18 0.1275 0.7563 0.2550 1
O19 0.8725 0.2437 0.7450 1
O20 0.0815 0.5062 0.6937 1
Ac1 0.2955 0.6823 0.5909 1
Ac2 0.7045 0.3177 0.4091 1
Ac3 0.6076 0.7328 0.2153 1
Ac4 0.3924 0.2672 0.7847 1
```

Calculated values
Symmetry: C2/m, No. 12
V in A^3/atom: 13.5
Energy in eV per cell: -227.143



Record 6
Entry from Alexandria: crystalline Ac2MoO6 at its relaxed geometry (PBE with a Hubbard U).

```
data_Ac2MoO6
_symmetry_space_group_name_H-M 'P 1'
_symmetry_Int_Tables_number 1
_symmetry_space_group_name_Hall 'P 1'
_cell_length_a 5.7643
_cell_length_b 6.4771
_cell_length_c 8.0556
_cell_angle_alpha 90.00
_cell_angle_beta 94.91
_cell_angle_gamma 90.00
loop_
_atom_site_label
_atom_site_fract_x
_atom_site_fract_y
_atom_site_fract_z
_atom_site_occupancy
Ac1 0.9691 0.4148 0.7507 1
Ac2 0.4691 0.0852 0.2507 1
Ac3 0.5309 0.9148 0.7493 1
Ac4 0.0309 0.5852 0.2493 1
O1 0.3698 0.5582 0.7752 1
O2 0.1317 0.2604 0.4262 1
O3 0.8698 0.9418 0.2752 1
O4 0.2149 0.3544 0.0465 1
O5 0.2851 0.8544 0.4535 1
O6 0.1302 0.0582 0.7248 1
O7 0.6302 0.4418 0.2248 1
O8 0.3683 0.7604 0.0738 1
O9 0.7851 0.6456 0.9535 1
O10 0.8683 0.7396 0.5738 1
O11 0.6317 0.2396 0.9262 1
O12 0.7149 0.1456 0.5465 1
Mo1 0.5000 0.5000 0.0000 1
Mo2 0.0000 0.0000 0.5000 1
```

Calculated values
Symmetry: P2_1/c, No. 14
V in A^3/atom: 16.6
Distance to the lowest polymorph of the same formula in meV/atom: 0
N(E_F) in states/eV per atom: 0.000



Record 7
Entry from Alexandria: crystalline Ac2MoO5 at its relaxed geometry (PBE with a Hubbard U).

```
data_Ac2MoO5
_symmetry_space_group_name_H-M 'P 1'
_symmetry_Int_Tables_number 1
_symmetry_space_group_name_Hall 'P 1'
_cell_length_a 5.7954
_cell_length_b 6.6148
_cell_length_c 8.0548
_cell_angle_alpha 108.33
_cell_angle_beta 90.00
_cell_angle_gamma 115.98
loop_
_atom_site_label
_atom_site_fract_x
_atom_site_fract_y
_atom_site_fract_z
_atom_site_occupancy
Ac1 0.3544 0.6610 0.6683 1
Ac2 0.6934 0.3390 0.8317 1
Ac3 0.6456 0.3390 0.3317 1
Ac4 0.3066 0.6610 0.1683 1
O1 0.9036 0.2748 0.5425 1
O2 0.3712 0.2748 0.0425 1
O3 0.0964 0.7252 0.4575 1
O4 0.0988 0.7079 0.9069 1
O5 0.8952 0.0000 0.7500 1
O6 0.6288 0.7252 0.9575 1
O7 0.9012 0.2921 0.0931 1
O8 0.1048 0.0000 0.2500 1
O9 0.3909 0.2921 0.5931 1
O10 0.6091 0.7079 0.4069 1
Mo1 0.0000 0.0000 0.0000 1
Mo2 0.0000 0.0000 0.5000 1
```

Calculated values
Symmetry: C2/c, No. 15
V in A^3/atom: 16.3
Distance to the lowest polymorph of the same formula in meV/atom: 0
N(E_F) in states/eV per atom: 0.000



Record 8
Entry from Alexandria: crystalline Ac2MoO5 at its relaxed geometry (PBE with a Hubbard U).

```
data_Ac2MoO5
_symmetry_space_group_name_H-M 'P 1'
_symmetry_Int_Tables_number 1
_symmetry_space_group_name_Hall 'P 1'
_cell_length_a 5.9181
_cell_length_b 6.5300
_cell_length_c 6.9644
_cell_angle_alpha 128.10
_cell_angle_beta 119.74
_cell_angle_gamma 95.93
loop_
_atom_site_label
_atom_site_fract_x
_atom_site_fract_y
_atom_site_fract_z
_atom_site_occupancy
O1 0.9226 0.8317 0.1228 1
O2 0.8315 0.9225 0.5756 1
O3 0.7011 0.1518 0.0046 1
O4 0.3761 0.3761 0.3482 1
O5 0.1519 0.7011 0.7926 1
Mo1 0.9503 0.9503 0.9224 1
Ac1 0.1286 0.7148 0.4263 1
Ac2 0.7149 0.1287 0.3614 1
```

Calculated values
Symmetry: C2, No. 5
V in A^3/atom: 18.4
Distance to the lowest polymorph of the same formula in meV/atom: 59
N(E_F) in states/eV per atom: 0.000



Record 9
Entry from Alexandria: crystalline AcMo2PO8 at its relaxed geometry (PBE with a Hubbard U).

```
data_AcMo2PO8
_symmetry_space_group_name_H-M 'P 1'
_symmetry_Int_Tables_number 1
_symmetry_space_group_name_Hall 'P 1'
_cell_length_a 5.1822
_cell_length_b 5.1822
_cell_length_c 6.3830
_cell_angle_alpha 90.00
_cell_angle_beta 90.00
_cell_angle_gamma 120.00
loop_
_atom_site_label
_atom_site_fract_x
_atom_site_fract_y
_atom_site_fract_z
_atom_site_occupancy
O1 0.6838 0.8419 0.1502 1
O2 0.1581 0.3162 0.1502 1
O3 0.8419 0.1581 0.8498 1
O4 0.1581 0.8419 0.1502 1
O5 0.3333 0.6667 0.6262 1
O6 0.6667 0.3333 0.3738 1
O7 0.8419 0.6838 0.8498 1
O8 0.3162 0.1581 0.8498 1
Mo1 0.3333 0.6667 0.9100 1
Mo2 0.6667 0.3333 0.0900 1
Ac1 0.0000 0.0000 0.5000 1
P1 0.0000 0.0000 0.0000 1
```

Calculated values
Symmetry: P-3m1, No. 164
V in A^3/atom: 12.4
Energy in eV per cell: -86.115



Record 10
Entry from Alexandria: crystalline AcMoP2O8 at its relaxed geometry (PBE with a Hubbard U).

```
data_AcMoP2O8
_symmetry_space_group_name_H-M 'P 1'
_symmetry_Int_Tables_number 1
_symmetry_space_group_name_Hall 'P 1'
_cell_length_a 5.1047
_cell_length_b 5.1047
_cell_length_c 7.4059
_cell_angle_alpha 90.00
_cell_angle_beta 90.00
_cell_angle_gamma 120.00
loop_
_atom_site_label
_atom_site_fract_x
_atom_site_fract_y
_atom_site_fract_z
_atom_site_occupancy
P1 0.3333 0.6667 0.7598 1
P2 0.6667 0.3333 0.2402 1
O1 0.0980 0.3438 0.6968 1
O2 0.6667 0.3333 0.0315 1
O3 0.7541 0.0980 0.3032 1
O4 0.6562 0.7541 0.6968 1
O5 0.9020 0.6562 0.3032 1
O6 0.2459 0.9020 0.6968 1
O7 0.3333 0.6667 0.9685 1
O8 0.3438 0.2459 0.3032 1
Mo1 0.0000 0.0000 0.5000 1
Ac1 0.0000 0.0000 0.0000 1
```

Calculated values
Symmetry: P-3, No. 147
V in A^3/atom: 13.9
Energy in eV per cell: -92.167
N(E_F) in states/eV per atom: 0.000



Record 11
Entry from Alexandria: crystalline AcMoPO6 at its relaxed geometry (PBE with a Hubbard U).

```
data_AcMoPO6
_symmetry_space_group_name_H-M 'P 1'
_symmetry_Int_Tables_number 1
_symmetry_space_group_name_Hall 'P 1'
_cell_length_a 4.5153
_cell_length_b 5.3714
_cell_length_c 5.3714
_cell_angle_alpha 120.00
_cell_angle_beta 90.00
_cell_angle_gamma 90.00
loop_
_atom_site_label
_atom_site_fract_x
_atom_site_fract_y
_atom_site_fract_z
_atom_site_occupancy
O1 0.2724 0.2414 0.2884 1
O2 0.2724 0.7116 0.9530 1
O3 0.2724 0.0470 0.7586 1
O4 0.7276 0.0470 0.2884 1
O5 0.7276 0.7116 0.7586 1
O6 0.7276 0.2414 0.9530 1
P1 0.5000 0.0000 0.0000 1
Mo1 0.0000 0.3333 0.6667 1
Ac1 0.5000 0.6667 0.3333 1
```

Calculated values
Symmetry: P312, No. 149
V in A^3/atom: 12.5
Energy in eV per cell: -61.764
N(E_F) in states/eV per atom: 0.382



Record 12
Entry from Alexandria: crystalline AcPaMoO6 at its relaxed geometry (PBE with a Hubbard U).

```
data_AcPaMoO6
_symmetry_space_group_name_H-M 'P 1'
_symmetry_Int_Tables_number 1
_symmetry_space_group_name_Hall 'P 1'
_cell_length_a 5.1908
_cell_length_b 5.1908
_cell_length_c 10.5723
_cell_angle_alpha 90.00
_cell_angle_beta 90.00
_cell_angle_gamma 90.00
loop_
_atom_site_label
_atom_site_fract_x
_atom_site_fract_y
_atom_site_fract_z
_atom_site_occupancy
Pa1 0.5000 0.5000 0.1665 1
Pa2 0.0000 0.0000 0.6665 1
O1 0.7810 0.2190 0.8144 1
O2 0.1709 0.8291 0.4941 1
O3 0.7190 0.7190 0.3144 1
O4 0.8291 0.1709 0.4941 1
O5 0.6709 0.6709 0.9941 1
O6 0.3291 0.3291 0.9941 1
O7 0.2063 0.7937 0.1904 1
O8 0.2190 0.7810 0.8144 1
O9 0.2937 0.2937 0.6904 1
O10 0.2810 0.2810 0.3144 1
O11 0.7937 0.2063 0.1904 1
O12 0.7063 0.7063 0.6904 1
Ac1 0.5000 0.5000 0.5035 1
Ac2 0.0000 0.0000 0.0035 1
Mo1 0.0000 0.0000 0.3323 1
Mo2 0.5000 0.5000 0.8323 1
```

Calculated values
Symmetry: P4_2nm, No. 102
V in A^3/atom: 15.8
Energy in eV per cell: -152.276